Entry 1:
# SrTeRh2

An optimized crystal structure of SrTeRh2 (PBE, Alexandria via LeMat-Bulk).

## Properties
The formation energy without anion corrections is -5.04 kcal/mol of atoms. The offset from the most stable computed form comes out at 282.0 meV per atom. Its density of states at the Fermi level is 0.723 states/eV/atom. As for the total energy: -5.10 eV per atom. Its space-group type is P4/mmm (123).

a b c (Å): 4.5858 4.5858 3.8301
angles (deg): 90.00 90.00 90.00
Sites, in units of the cell vectors:
Sr 0.0000 0.0000 0.0000
Te 0.5000 0.5000 0.0000
Rh 0.0000 0.5000 0.5000
Rh 0.5000 0.0000 0.5000

=====

Entry 2:
# SrTeRh3

An optimized crystal structure of SrTeRh3 (PBE, Alexandria via LeMat-Bulk).

## Properties
The formation energy without anion corrections is 35.74 kcal/mol of atoms. The offset from the most stable computed form comes out at 1469.1 meV per atom. Its density of states at the Fermi level is 1.886 states/eV/atom. As for the total energy: -3.83 eV per atom. Its space-group type is Pm-3m (221).

a b c (Å): 4.9738 4.9738 4.9738
angles (deg): 90.00 90.00 90.00
Sites, in units of the cell vectors:
Sr 0.0000 0.0000 0.0000
Te 0.5000 0.5000 0.5000
Rh 0.0000 0.0000 0.5000
Rh 0.0000 0.5000 0.0000
Rh 0.5000 0.0000 0.0000

=====

Entry 3:
# Sr4TeRh

An optimized crystal structure of Sr4TeRh (PBE, Alexandria via LeMat-Bulk).

## Properties
The formation energy without anion corrections is 9.60 kcal/mol of atoms. The offset from the most stable computed form comes out at 1033.8 meV per atom. Its density of states at the Fermi level is 0.922 states/eV/atom. As for the total energy: -2.45 eV per atom. Its space-group type is F-43m (216).

a b c (Å): 6.7435 6.7435 6.7435
angles (deg): 60.00 60.00 60.00
Sites, in units of the cell vectors:
Sr 0.3755 0.3755 0.3755
Sr 0.3755 0.3755 0.8734
Sr 0.3755 0.8734 0.3755
Sr 0.8734 0.3755 0.3755
Te 0.0000 0.0000 0.0000
Rh 0.7500 0.7500 0.7500

=====

Entry 4:
# SrTeRh2

An optimized crystal structure of SrTeRh2 (PBE, Alexandria via LeMat-Bulk).

## Properties
The formation energy without anion corrections is -5.87 kcal/mol of atoms. The offset from the most stable computed form comes out at 246.0 meV per atom. Its density of states at the Fermi level is 0.774 states/eV/atom. As for the total energy: -5.14 eV per atom. Its space-group type is Pmmm (47).

a b c (Å): 4.1779 4.6057 5.5024
angles (deg): 90.00 90.00 90.00
Sites, in units of the cell vectors:
Sr 0.0000 0.0000 0.0000
Te 0.0000 0.5000 0.5000
Rh 0.5000 0.5000 0.2304
Rh 0.5000 0.5000 0.7696

=====

Entry 5:
# SrTe2Rh2

An optimized crystal structure of SrTe2Rh2 (PBE, Alexandria via LeMat-Bulk).

## Properties
The formation energy without anion corrections is -13.58 kcal/mol of atoms. The offset from the most stable computed form comes out at 26.0 meV per atom. Its density of states at the Fermi level is 0.149 states/eV/atom. As for the total energy: -5.12 eV per atom. Its space-group type is I4/mmm (139).

a b c (Å): 5.9171 5.9171 5.9171
angles (deg): 129.97 129.97 73.46
Sites, in units of the cell vectors:
Sr 0.0000 0.0000 0.0000
Te 0.2500 0.7500 0.5000
Te 0.7500 0.2500 0.5000
Rh 0.3532 0.3532 0.0000
Rh 0.6468 0.6468 0.0000

=====

Entry 6:
# SrTeRh3

An optimized crystal structure of SrTeRh3 (PBE, Alexandria via LeMat-Bulk).

## Properties
The formation energy without anion corrections is 1.86 kcal/mol of atoms. The offset from the most stable computed form comes out at 0.0 meV per atom. Its density of states at the Fermi level is 1.431 states/eV/atom. As for the total energy: -5.29 eV per atom. Its space-group type is Pm-3m (221).

a b c (Å): 4.9177 4.9177 4.9177
angles (deg): 90.00 90.00 90.00
Sites, in units of the cell vectors:
Sr 0.0000 0.0000 0.0000
Te 0.5000 0.5000 0.5000
Rh 0.0000 0.5000 0.5000
Rh 0.5000 0.0000 0.5000
Rh 0.5000 0.5000 0.0000

=====

Entry 7:
# SrTe2Rh2

An optimized crystal structure of SrTe2Rh2 (PBE, Alexandria via LeMat-Bulk).

## Properties
The formation energy without anion corrections is -14.18 kcal/mol of atoms. The offset from the most stable computed form comes out at 0.0 meV per atom. Its density of states at the Fermi level is 1.016 states/eV/atom. As for the total energy: -5.15 eV per atom. Its space-group type is I4/mmm (139).

a b c (Å): 7.0489 7.0489 7.0489
angles (deg): 144.03 144.03 51.78
Sites, in units of the cell vectors:
Sr 0.0000 0.0000 0.0000
Te 0.3678 0.3678 0.0000
Te 0.6322 0.6322 0.0000
Rh 0.2500 0.7500 0.5000
Rh 0.7500 0.2500 0.5000

=====

Entry 8:
# Sr3TeRh

An optimized crystal structure of Sr3TeRh (PBE, Alexandria via LeMat-Bulk).

## Properties
The formation energy without anion corrections is -13.41 kcal/mol of atoms. The offset from the most stable computed form comes out at 0.0 meV per atom. Its density of states at the Fermi level is 0.801 states/eV/atom. As for the total energy: -3.69 eV per atom. Its space-group type is Pm-3m (221).

a b c (Å): 5.7208 5.7208 5.7208
angles (deg): 90.00 90.00 90.00
Sites, in units of the cell vectors:
Sr 0.0000 0.0000 0.5000
Sr 0.0000 0.5000 0.0000
Sr 0.5000 0.0000 0.0000
Te 0.5000 0.5000 0.5000
Rh 0.0000 0.0000 0.0000

=====

Entry 9:
# SrTeRh2

An optimized crystal structure of SrTeRh2 (PBE, Alexandria via LeMat-Bulk).

## Properties
The formation energy without anion corrections is -11.54 kcal/mol of atoms. The offset from the most stable computed form comes out at 0.0 meV per atom. Its density of states at the Fermi level is 0.798 states/eV/atom. As for the total energy: -5.38 eV per atom. Its space-group type is C2/m (12).

a b c (Å): 4.5182 4.5182 5.9060
angles (deg): 112.42 112.42 60.02
Sites, in units of the cell vectors:
Sr 0.0000 0.0000 0.0000
Te 0.5000 0.5000 0.5000
Rh 0.1983 0.1983 0.5950
Rh 0.8017 0.8017 0.4050

=====

Entry 10:
# SrTeRh

An optimized crystal structure of SrTeRh (PBE, Alexandria via LeMat-Bulk).

## Properties
The formation energy without anion corrections is -20.53 kcal/mol of atoms. Its density of states at the Fermi level is 0.971 states/eV/atom. As for the total energy: -4.95 eV per atom. Its space-group type is Cmcm (63).

a b c (Å): 4.4775 4.4775 9.1758
angles (deg): 90.00 90.00 119.55
Sites, in units of the cell vectors:
Sr 0.0000 0.0000 0.0000
Sr 0.0000 0.0000 0.5000
Te 0.3336 0.6664 0.7500
Te 0.6664 0.3336 0.2500
Rh 0.3314 0.6686 0.2500
Rh 0.6686 0.3314 0.7500

=====

Entry 11:
# SrTeRh2

An optimized crystal structure of SrTeRh2 (PBE, Alexandria via LeMat-Bulk).

## Properties
The formation energy without anion corrections is -3.56 kcal/mol of atoms. The offset from the most stable computed form comes out at 346.2 meV per atom. Its density of states at the Fermi level is 0.546 states/eV/atom. As for the total energy: -5.04 eV per atom. Its space-group type is P4/mmm (123).

a b c (Å): 3.5021 3.5021 6.8570
angles (deg): 90.00 90.00 90.00
Sites, in units of the cell vectors:
Sr 0.0000 0.0000 0.0000
Te 0.0000 0.0000 0.5000
Rh 0.5000 0.5000 0.2934
Rh 0.5000 0.5000 0.7066

=====

Entry 12:
# Sr2TeRh2

An optimized crystal structure of Sr2TeRh2 (PBE, Alexandria via LeMat-Bulk).

## Properties
The formation energy without anion corrections is -7.56 kcal/mol of atoms. The offset from the most stable computed form comes out at 156.4 meV per atom. Its density of states at the Fermi level is 1.146 states/eV/atom. As for the total energy: -4.57 eV per atom. Its space-group type is I4/mmm (139).

a b c (Å): 5.7308 5.7308 5.7308
angles (deg): 116.88 116.88 95.50
Sites, in units of the cell vectors:
Sr 0.2500 0.7500 0.5000
Sr 0.7500 0.2500 0.5000
Te 0.0000 0.0000 0.0000
Rh 0.3379 0.3379 0.0000
Rh 0.6621 0.6621 0.0000

=====

Entry 13:
# SrTeRh2

An optimized crystal structure of SrTeRh2 (PBE, Alexandria via LeMat-Bulk).

## Properties
The formation energy without anion corrections is -2.38 kcal/mol of atoms. The offset from the most stable computed form comes out at 397.4 meV per atom. Its density of states at the Fermi level is 0.668 states/eV/atom. As for the total energy: -4.98 eV per atom. Its space-group type is I-42d (122).

a b c (Å): 6.3516 6.3516 6.3516
angles (deg): 105.35 105.35 118.07
Sites, in units of the cell vectors:
Sr 0.0000 0.0000 0.0000
Sr 0.7500 0.2500 0.5000
Te 0.2500 0.7500 0.5000
Te 0.5000 0.5000 0.0000
Rh 0.1926 0.6250 0.0676
Rh 0.3750 0.4426 0.5676
Rh 0.5574 0.1250 0.9324
Rh 0.8750 0.8074 0.4324

=====

Entry 14:
# SrTeRh

An optimized crystal structure of SrTeRh (PBE, Alexandria via LeMat-Bulk).

## Properties
The formation energy without anion corrections is -7.52 kcal/mol of atoms. Its density of states at the Fermi level is 1.725 states/eV/atom. As for the total energy: -4.38 eV per atom. Its space-group type is Imm2 (44).

a b c (Å): 5.4690 5.4690 5.4690
angles (deg): 134.39 134.24 66.60
Sites, in units of the cell vectors:
Sr 0.0000 0.0000 0.0000
Te 0.3413 0.3413 0.0000
Rh 0.6226 0.6226 0.0000

=====

Entry 15:
# Sr4Te2Rh

An optimized crystal structure of Sr4Te2Rh (PBE, Alexandria via LeMat-Bulk).

## Properties
The formation energy without anion corrections is -20.06 kcal/mol of atoms. Its density of states at the Fermi level is 0.507 states/eV/atom. As for the total energy: -3.78 eV per atom. Its space-group type is I4/mmm (139).

a b c (Å): 9.5053 9.5053 9.5053
angles (deg): 145.99 145.99 48.86
Sites, in units of the cell vectors:
Sr 0.0000 0.5000 0.5000
Sr 0.1716 0.1716 0.0000
Sr 0.5000 0.0000 0.5000
Sr 0.8284 0.8284 0.0000
Te 0.3619 0.3619 0.0000
Te 0.6381 0.6381 0.0000
Rh 0.0000 0.0000 0.0000

=====

Entry 16:
# SrTeRh2

An optimized crystal structure of SrTeRh2 (PBE, Alexandria via LeMat-Bulk).

## Properties
The formation energy without anion corrections is -10.99 kcal/mol of atoms. The offset from the most stable computed form comes out at 24.3 meV per atom. Its density of states at the Fermi level is 0.425 states/eV/atom. As for the total energy: -5.36 eV per atom. Its space-group type is R3m (160).

a b c (Å): 6.1425 6.1425 6.1425
angles (deg): 42.49 42.49 42.49
Sites, in units of the cell vectors:
Sr 0.0000 0.0000 0.0000
Te 0.1976 0.1976 0.1976
Rh 0.4653 0.4653 0.4653
Rh 0.7958 0.7958 0.7958

=====

Entry 17:
# SrTe3Rh

An optimized crystal structure of SrTe3Rh (PBE, Alexandria via LeMat-Bulk).

## Properties
The formation energy without anion corrections is 21.49 kcal/mol of atoms. The offset from the most stable computed form comes out at 1410.3 meV per atom. Its density of states at the Fermi level is 2.776 states/eV/atom. As for the total energy: -2.76 eV per atom. Its space-group type is Pm-3m (221).

a b c (Å): 6.0466 6.0466 6.0466
angles (deg): 90.00 90.00 90.00
Sites, in units of the cell vectors:
Sr 0.0000 0.0000 0.0000
Te 0.0000 0.0000 0.5000
Te 0.0000 0.5000 0.0000
Te 0.5000 0.0000 0.0000
Rh 0.5000 0.5000 0.5000

=====

Entry 18:
# SrTeRh2

An optimized crystal structure of SrTeRh2 (PBE, Alexandria via LeMat-Bulk).

## Properties
The formation energy without anion corrections is -4.84 kcal/mol of atoms. The offset from the most stable computed form comes out at 290.7 meV per atom. Its density of states at the Fermi level is 0.489 states/eV/atom. As for the total energy: -5.09 eV per atom. Its space-group type is Imm2 (44).

a b c (Å): 5.7989 5.7989 5.7989
angles (deg): 144.68 132.06 60.93
Sites, in units of the cell vectors:
Sr 0.0000 0.0000 0.0000
Te 0.7268 0.2268 0.5000
Rh 0.2777 0.7777 0.5000
Rh 0.5262 0.5262 0.0000

=====

Entry 19:
# SrTe3Rh

An optimized crystal structure of SrTe3Rh (PBE, Alexandria via LeMat-Bulk).

## Properties
The formation energy without anion corrections is -11.03 kcal/mol of atoms. The offset from the most stable computed form comes out at 0.0 meV per atom. Its density of states at the Fermi level is 1.103 states/eV/atom. As for the total energy: -4.17 eV per atom. Its space-group type is Pm-3m (221).

a b c (Å): 5.3308 5.3308 5.3308
angles (deg): 90.00 90.00 90.00
Sites, in units of the cell vectors:
Sr 0.0000 0.0000 0.0000
Te 0.0000 0.5000 0.5000
Te 0.5000 0.0000 0.5000
Te 0.5000 0.5000 0.0000
Rh 0.5000 0.5000 0.5000

=====

Entry 20:
# SrTeRh

An optimized crystal structure of SrTeRh (PBE, Alexandria via LeMat-Bulk).

## Properties
The formation energy without anion corrections is -20.61 kcal/mol of atoms. Its density of states at the Fermi level is 0.748 states/eV/atom. As for the total energy: -4.95 eV per atom. Its space-group type is P-6m2 (187).

a b c (Å): 4.4930 4.4930 4.5715
angles (deg): 90.00 90.00 120.00
Sites, in units of the cell vectors:
Sr 0.0000 0.0000 0.0000
Te 0.6667 0.3333 0.5000
Rh 0.3333 0.6667 0.5000